# Ce2PmPrS4

A geometry-optimized Ce2PmPrS4 structure (GGA-PBE, Alexandria).

Cell and atoms, written as POSCAR:
```
Ce2PmPrS4
1.0
-3.974 -0.730 -0.165
1.099 -4.867 -4.933
0.288 -2.998 6.339
Ce Pm Pr S
2 1 1 4
Cartesian
-1.843 -1.864 3.087 Ce
0.694 -3.933 0.703 Ce
-1.437 -2.799 -2.549 Pm
0.000 0.000 0.000 Pr
-1.634 -2.364 0.273 S
-0.952 -6.231 0.967 S
0.493 -3.471 3.498 S
0.895 -4.394 -2.093 S
```

Computed properties:
For the calculated density, the calculation gives 6.139 g cm⁻³. The calculated total energy comes out at -6.78 eV per atom.